(1)
A plane-wave DFT calculation with PBE was carried out for a geometry-optimized CdPbN2O structure.

Cell lengths 4.3304, 4.3304, 4.4497 Å; angles 90.00, 90.00, 90.00 degrees
Element x y z (fractional)
Cd: 0.0000 0.0000 0.0000
Pb: 0.5000 0.5000 0.5000
N: 0.0000 0.5000 0.0000
N: 0.5000 0.0000 0.0000
O: 0.0000 0.0000 0.5000

Properties
The value obtained for the total energy is -20.19 eV per formula unit. Its density of states at the Fermi level is 2.6 states/eV/f.u. The calculation puts the total moment at 3.2 μB/f.u.

---

(2)
A plane-wave DFT calculation with PBE was carried out for a geometry-optimized GdYGaIr structure.

Cell lengths 7.0514, 7.0514, 7.0514 Å; angles 90.00, 90.00, 90.00 degrees
Element x y z (fractional)
Gd: 0.0000 0.0000 0.0000
Gd: 0.0000 0.5000 0.5000
Gd: 0.5000 0.0000 0.5000
Gd: 0.5000 0.5000 0.0000
Y: 0.0000 0.0000 0.5000
Y: 0.0000 0.5000 0.0000
Y: 0.5000 0.0000 0.0000
Y: 0.5000 0.5000 0.5000
Ga: 0.2500 0.2500 0.2500
Ga: 0.2500 0.7500 0.7500
Ga: 0.7500 0.2500 0.7500
Ga: 0.7500 0.7500 0.2500
Ir: 0.2500 0.2500 0.7500
Ir: 0.2500 0.7500 0.2500
Ir: 0.7500 0.2500 0.2500
Ir: 0.7500 0.7500 0.7500

Properties
Its density of states at the Fermi level is 2.6 states/eV/f.u. The calculation puts the total moment at 7.1 μB/f.u. The calculated formation energy is -0.6541 eV/atom.

---

(3)
A plane-wave DFT calculation with PBE was carried out for a geometry-optimized Li2HfTe structure.

Cell lengths 7.9174, 7.9174, 5.5927 Å; angles 90.00, 90.00, 90.00 degrees
Element x y z (fractional)
Li: 0.2119 0.2500 0.1250
Li: 0.2500 0.7119 0.3750
Li: 0.2500 0.7881 0.8750
Li: 0.2881 0.2500 0.6250
Li: 0.7119 0.7500 0.6250
Li: 0.7500 0.2119 0.8750
Li: 0.7500 0.2881 0.3750
Li: 0.7881 0.7500 0.1250
Hf: 0.0000 0.0000 0.5000
Hf: 0.0000 0.5000 0.7500
Hf: 0.5000 0.0000 0.2500
Hf: 0.5000 0.5000 0.0000
Te: 0.0000 0.0000 0.0000
Te: 0.0000 0.5000 0.2500
Te: 0.5000 0.0000 0.7500
Te: 0.5000 0.5000 0.5000

Properties
The value obtained for the total energy is -16.81 eV per formula unit. Its density of states at the Fermi level is 2.5 states/eV/f.u. The calculation puts the total moment at 0.0 μB/f.u.